[1]
Crystalline FeSiS2Cl at its relaxed geometry, computed with PBE.

POSCAR file:
```
FeSiS2Cl
1.0
4.586 0.000 0.000
0.000 4.586 0.000
0.000 0.000 4.547
Fe Si S Cl
1 1 2 1
Cartesian
0.000 0.000 0.000 Fe
2.293 2.293 2.274 Si
0.000 2.293 0.000 S
2.293 0.000 0.000 S
0.000 0.000 2.274 Cl
```

- formation energy (no corrections) (kcal/mol of atoms) = 7.33
- D(E_F) (states/eV/f.u.) = 4.3

***

[2]
Crystalline YZnF3 at its relaxed geometry, computed with PBE.

POSCAR file:
```
YZnF3
1.0
4.476 0.000 0.000
0.000 4.476 0.000
0.000 0.000 4.476
Y Zn F
1 1 3
Cartesian
0.000 0.000 0.000 Y
2.238 2.238 2.238 Zn
0.000 0.000 2.238 F
0.000 2.238 0.000 F
2.238 0.000 0.000 F
```

- formation energy (no corrections) (kcal/mol of atoms) = -68.72
- D(E_F) (states/eV/f.u.) = 0.0

***

[3]
Crystalline YZnCr3 at its relaxed geometry, computed with PBE.

POSCAR file:
```
YZnCr3
1.0
4.945 0.000 0.000
0.000 4.945 0.000
0.000 0.000 4.945
Y Zn Cr
1 1 3
Cartesian
0.000 0.000 0.000 Y
2.472 2.472 2.472 Zn
0.000 0.000 2.472 Cr
0.000 2.472 0.000 Cr
2.472 0.000 0.000 Cr
```

- formation energy (meV/atom) = 1987
- D(E_F) (states/eV/f.u.) = 3.6

***

[4]
Crystalline CaLa2Tl at its relaxed geometry, computed with PBE.

POSCAR file:
```
CaLa2Tl
1.0
3.372 -6.154 0.000
3.372 6.154 0.000
-1.570 0.000 3.221
Ca La Tl
1 2 1
Cartesian
0.000 0.000 0.000 Ca
0.901 3.077 1.610 La
0.901 -3.077 1.610 La
3.372 0.000 0.000 Tl
```

- formation energy (meV/atom) = -94
- D(E_F) (states/eV/f.u.) = 4.8

***

[5]
Crystalline HgOsPb2 at its relaxed geometry, computed with PBE.

POSCAR file:
```
HgOsPb2
1.0
3.643 0.000 0.000
0.000 4.797 0.000
0.000 0.000 5.277
Hg Os Pb
1 1 2
Cartesian
0.000 0.000 0.000 Hg
1.822 0.000 2.639 Os
0.000 2.399 2.639 Pb
1.822 2.399 0.000 Pb
```

- formation energy (meV/atom) = 953
- D(E_F) (states/eV/f.u.) = 3.7

***

[6]
Crystalline LiNdI2 at its relaxed geometry, computed with PBE.

POSCAR file:
```
LiNdI2
1.0
2.030 1.172 9.880
-2.030 1.172 9.880
0.000 -2.344 9.880
Li Nd I
1 1 2
Cartesian
0.000 0.000 0.000 Li
0.000 0.000 14.819 Nd
0.000 0.000 2.707 I
0.000 0.000 26.932 I
```

- formation energy (no corrections) (kcal/mol of atoms) = -20.03
- D(E_F) (states/eV/f.u.) = 2.4

***

[7]
Crystalline RbMnP3 at its relaxed geometry, computed with PBE.

POSCAR file:
```
RbMnP3
1.0
5.272 0.000 0.000
0.000 5.272 0.000
0.000 0.000 5.272
Rb Mn P
1 1 3
Cartesian
0.000 0.000 0.000 Rb
2.636 2.636 2.636 Mn
0.000 0.000 2.636 P
0.000 2.636 0.000 P
2.636 0.000 0.000 P
```

- formation energy (meV/atom) = 2248
- D(E_F) (states/eV/f.u.) = 5.3

***

[8]
Crystalline CdFeP2Cl at its relaxed geometry, computed with PBE.

POSCAR file:
```
CdFeP2Cl
1.0
4.940 0.000 0.000
0.000 4.940 0.000
0.000 0.000 5.149
Cd Fe P Cl
1 1 2 1
Cartesian
0.000 0.000 0.000 Cd
2.470 2.470 2.575 Fe
0.000 2.470 0.000 P
2.470 0.000 0.000 P
0.000 0.000 2.575 Cl
```

- formation energy (no corrections) (kcal/mol of atoms) = 28.46
- D(E_F) (states/eV/f.u.) = 8.7

***

[9]
Crystalline FeHgW3 at its relaxed geometry, computed with PBE.

POSCAR file:
```
FeHgW3
1.0
4.892 0.000 0.000
0.000 4.892 0.000
0.000 0.000 4.892
Fe Hg W
1 1 3
Cartesian
0.000 0.000 0.000 Fe
2.446 2.446 2.446 Hg
0.000 2.446 2.446 W
2.446 0.000 2.446 W
2.446 2.446 0.000 W
```

- formation energy (meV/atom) = 3331
- D(E_F) (states/eV/f.u.) = 5.2

***

[10]
Crystalline CaMnSe2Br at its relaxed geometry, computed with PBE.

POSCAR file:
```
CaMnSe2Br
1.0
5.484 0.000 0.000
0.000 5.484 0.000
0.000 0.000 5.399
Ca Mn Se Br
1 1 2 1
Cartesian
0.000 0.000 0.000 Ca
2.742 2.742 2.700 Mn
0.000 2.742 0.000 Se
2.742 0.000 0.000 Se
0.000 0.000 2.700 Br
```

- formation energy (no corrections) (kcal/mol of atoms) = -1.84
- D(E_F) (states/eV/f.u.) = 5.1

***

[11]
Crystalline PmDyCo at its relaxed geometry, computed with PBE.

POSCAR file:
```
PmDyCo
1.0
6.658 -1.700 0.000
6.658 1.700 0.000
-1.783 0.000 6.605
Pm Dy Co
2 2 2
Cartesian
1.583 0.000 0.431 Pm
9.951 0.000 6.174 Pm
0.679 0.000 3.715 Dy
10.855 0.000 2.890 Dy
6.176 0.000 1.728 Co
5.358 0.000 4.877 Co
```

- formation energy (meV/atom) = -52
- D(E_F) (states/eV/f.u.) = 2.8

***

[12]
Crystalline Li2Pm2CuO6 at its relaxed geometry, computed with PBE.

POSCAR file:
```
Li2Pm2CuO6
1.0
2.782 1.606 4.777
-2.782 1.606 4.777
0.000 -3.213 4.777
Li Pm Cu O
2 2 1 6
Cartesian
0.000 0.000 1.086 Li
0.000 0.000 13.246 Li
0.000 0.000 4.063 Pm
0.000 0.000 10.269 Pm
0.000 0.000 7.166 Cu
0.000 -1.464 5.900 O
-1.268 0.732 5.900 O
-1.268 -0.732 8.432 O
1.268 0.732 5.900 O
1.268 -0.732 8.432 O
0.000 1.464 8.432 O
```

- formation energy (no corrections) (kcal/mol of atoms) = -43.44
- D(E_F) (states/eV/f.u.) = 3.7

***

[13]
Crystalline Sm2Be3Cu12Ge at its relaxed geometry, computed with PBE.

POSCAR file:
```
Sm2Be3Cu12Ge
1.0
3.763 2.172 5.927
-3.763 2.172 5.927
0.000 -4.345 5.927
Sm Be Cu Ge
2 3 12 1
Cartesian
0.000 0.000 1.862 Sm
0.000 0.000 15.919 Sm
-1.881 -1.086 5.927 Be
-1.881 1.086 11.854 Be
0.000 2.172 5.927 Be
-1.925 -1.111 8.044 Cu
0.000 -1.903 5.471 Cu
-1.648 0.952 5.471 Cu
0.000 -2.223 9.737 Cu
-1.925 1.111 9.737 Cu
-1.648 -0.952 12.310 Cu
1.648 0.952 5.471 Cu
1.925 -1.111 8.044 Cu
0.000 2.223 8.044 Cu
1.648 -0.952 12.310 Cu
0.000 1.903 12.310 Cu
1.925 1.111 9.737 Cu
0.000 0.000 8.891 Ge
```

- formation energy (meV/atom) = 295
- D(E_F) (states/eV/f.u.) = 7.1

***

[14]
Crystalline HCl at its relaxed geometry, computed with PBE.

POSCAR file:
```
HCl
1.0
7.508 0.000 0.000
0.000 7.508 0.000
0.000 0.000 2.975
H Cl
4 4
Cartesian
1.849 1.849 0.000 H
1.905 5.603 1.487 H
5.603 1.905 1.487 H
5.660 5.660 0.000 H
1.497 1.497 1.487 Cl
2.257 5.251 0.000 Cl
5.251 2.257 0.000 Cl
6.011 6.011 1.487 Cl
```

- energy (eV/atom) = -2.88
- D(E_F) (states/eV/f.u.) = 0.0

***

[15]
Crystalline MnCuTcSn at its relaxed geometry, computed with PBE.

POSCAR file:
```
MnCuTcSn
1.0
0.000 3.137 3.137
3.137 0.000 3.137
3.137 3.137 0.000
Mn Cu Tc Sn
1 1 1 1
Cartesian
0.000 0.000 0.000 Mn
1.569 1.569 1.569 Cu
4.706 4.706 4.706 Tc
3.137 3.137 3.137 Sn
```

- formation energy (meV/atom) = 196
- D(E_F) (states/eV/f.u.) = 4.4

***

[16]
Crystalline Zr2PdI8 at its relaxed geometry, computed with PBE.

POSCAR file:
```
Zr2PdI8
1.0
6.763 -5.667 0.000
6.763 5.667 0.000
-0.447 0.000 7.346
Zr Pd I
2 1 8
Cartesian
2.325 0.000 2.310 Zr
10.754 0.000 5.036 Zr
0.000 0.000 0.000 Pd
4.895 3.349 6.092 I
1.789 0.000 4.974 I
8.183 3.349 1.254 I
5.017 0.000 1.988 I
8.061 0.000 5.358 I
4.895 -3.349 6.092 I
11.290 0.000 2.371 I
8.183 -3.349 1.254 I
```

- formation energy (no corrections) (kcal/mol of atoms) = -15.98

***

[17]
Crystalline Pu3ZnRh at its relaxed geometry, computed with PBE.

POSCAR file:
```
Pu3ZnRh
1.0
4.895 -4.355 0.000
4.895 4.355 0.000
-4.413 0.000 4.980
Pu Zn Rh
6 2 2
Cartesian
-0.797 1.793 3.894 Pu
-1.017 0.000 2.223 Pu
-0.797 -1.793 3.894 Pu
6.174 1.793 1.086 Pu
6.394 0.000 2.757 Pu
6.174 -1.793 1.086 Pu
1.722 0.000 3.336 Zn
3.655 0.000 1.644 Zn
1.296 0.000 0.510 Rh
4.081 0.000 4.470 Rh
```

- formation energy (meV/atom) = -105
- D(E_F) (states/eV/f.u.) = 13.8

***

[18]
Crystalline Cr2FeRe at its relaxed geometry, computed with PBE.

POSCAR file:
```
Cr2FeRe
1.0
-1.483 2.064 4.071
1.483 -2.064 4.071
1.483 2.064 -4.071
Cr Fe Re
2 1 1
Cartesian
0.000 0.000 0.000 Cr
0.000 2.064 2.163 Cr
0.000 0.000 4.179 Fe
1.483 0.000 2.049 Re
```

- formation energy (meV/atom) = 86
- D(E_F) (states/eV/f.u.) = 4.2

***

[19]
Crystalline CaIn2Pd4 at its relaxed geometry, computed with PBE.

POSCAR file:
```
CaIn2Pd4
1.0
-2.473 2.473 6.831
2.473 -2.473 6.831
2.473 2.473 -6.831
Ca In Pd
1 2 4
Cartesian
0.000 0.000 0.000 Ca
0.000 0.000 5.273 In
0.000 0.000 8.389 In
2.473 0.000 0.000 Pd
0.000 0.000 2.674 Pd
0.000 2.473 0.000 Pd
0.000 0.000 10.987 Pd
```

- formation energy (meV/atom) = 250
- D(E_F) (states/eV/f.u.) = 3.4

***

[20]
Crystalline Li5Nd2Pd12 at its relaxed geometry, computed with PBE.

POSCAR file:
```
Li5Nd2Pd12
1.0
4.478 2.585 4.548
-4.478 2.585 4.548
0.000 -5.171 4.548
Li Nd Pd
5 2 12
Cartesian
-4.478 0.000 6.822 Li
-2.239 1.293 2.274 Li
0.000 0.000 1.221 Li
2.239 1.293 2.274 Li
0.000 0.000 12.422 Li
0.000 0.000 4.772 Nd
0.000 0.000 8.872 Nd
-1.378 -2.784 4.548 Pd
-3.100 0.199 4.548 Pd
-2.313 -1.336 6.688 Pd
1.378 -2.784 4.548 Pd
-1.723 2.585 4.548 Pd
0.000 -2.671 6.955 Pd
-2.313 1.336 6.955 Pd
2.313 -1.336 6.688 Pd
0.000 2.671 6.688 Pd
3.100 0.199 4.548 Pd
1.723 2.585 4.548 Pd
2.313 1.336 6.955 Pd
```

- formation energy (meV/atom) = -504
- D(E_F) (states/eV/f.u.) = 10.7

***

Number 1: magnetic moment 0.6695 μB per atom. Number 2: magnetic moment 0.0000 μB per atom. Number 3: magnetic moment 2.1704 μB per atom. Number 4: magnetic moment 0.0000 μB per atom. Number 5: magnetic moment 0.0001 μB per atom. Number 6: magnetic moment 0.0003 μB per atom. Number 7: magnetic moment 0.9313 μB per atom. Number 8: magnetic moment 0.7663 μB per atom. Number 9: magnetic moment 0.5133 μB per atom. Number 10: magnetic moment 0.8956 μB per atom. Number 11: magnetic moment 0.2054 μB per atom. Number 12: magnetic moment 0.0000 μB per atom. Number 13: magnetic moment 0.0000 μB per atom. Number 14: magnetic moment 0.0000 μB per atom. Number 15: magnetic moment 0.8840 μB per atom. Number 16: magnetic moment 0.0000 μB per atom. Number 17: magnetic moment 1.4136 μB per atom. Number 18: magnetic moment 0.5672 μB per atom. Number 19: magnetic moment 0.0000 μB per atom. Number 20: magnetic moment 0.0000 μB per atom.